Computed, not measured: a relaxed structure of UCdTe2 at the PBE-GGA level of DFT.

The structure in extended XYZ format:
```
4
Lattice="2.0959 1.2101 10.2345 -2.0959 1.2101 10.2345 0.0000 -2.4202 10.2345" Properties=species:S:1:pos:R:3 pbc="T T T"
U 0.0000 0.0000 0.0000
Cd 0.0000 0.0000 15.3518
Te 0.0000 0.0000 12.0862
Te 0.0000 0.0000 18.6174
```

Uncorrected formation energy   -1.21 eV per formula unit
Total moment   2.113 Bohr magnetons per cell
E above lowest polymorph   110 meV per atom
Theoretical density   6.5 g cm⁻³
Raw total energy   -4.923 eV/atom